[1]
Compound: Tb2Pm5NdTm
Source: Alexandria via LeMat-Bulk
Functional: PBE
Structure: optimized geometry

Lattice parameters (Å, degrees): 5.6953 20.2309 10.6529 90.00 90.00 90.00
Closest atoms and distances in Å follow each position.
Space group Cmc2_1 (No. 36)
Unique sites:
Tb: 0.0000 0.1134 0.0000  1 Tm 3.42, 7 Pm 3.49-3.73, 2 Nd 3.73
Tb: 0.0000 0.1157 0.5827  8 Pm 3.32-3.59, 1 Tm 3.67
Pm: 0.0000 0.0171 0.2858  2 Nd 3.26, 3 Tb 3.45-3.61
Pm: 0.0000 0.2800 0.5800  1 Nd 3.07, 1 Tb 3.32
Pm: 0.0000 0.2972 0.9727  4 Pm 3.44-3.79, 3 Tm 3.53-3.80, 3 Tb 3.55-3.73, 1 Nd 3.55
Pm: 0.0000 0.3848 0.2876  6 Pm 3.56-3.91, 4 Tb 3.59-3.64, 1 Tm 3.76
Pm: 0.0000 0.4805 0.0070  2 Nd 3.15-3.34
Nd: 0.0000 0.4123 0.7215  5 Pm 3.07-3.34
Tm: 0.0000 0.1991 0.2770  2 Tb 3.42-3.67, 8 Pm 3.53-3.80, 2 Nd 3.68

formation enthalpy at 0 K = 14.2 kJ per mole of atoms
total magnetization = 0.00 Bohr magnetons per cell



[2]
Compound: TbPm6Nd3Tm2
Source: Alexandria via LeMat-Bulk
Functional: PBE
Structure: optimized geometry

Lattice parameters (Å, degrees): 6.2838 10.8855 11.9781 90.00 100.07 90.00
Closest atoms and distances in Å follow each position.
Space group C2/m (No. 12)
Unique sites:
Tb: 0.0000 0.0000 0.0000  6 Pm 3.57, 6 Tm 3.63
Pm: 0.2484 0.5000 0.2452  1 Tb 3.57, 2 Tm 3.57, 6 Pm 3.63, 3 Nd 3.66
Pm: 0.2492 0.1669 0.2452  2 Tm 3.57, 1 Tb 3.57, 6 Pm 3.63, 3 Nd 3.66-3.67
Nd: 0.0000 0.1668 0.5000  6 Nd 3.63, 6 Pm 3.66-3.67
Nd: 0.0000 0.5000 0.5000  6 Nd 3.63, 6 Pm 3.66
Tm: 0.0000 0.3333 0.0000  6 Pm 3.57, 3 Tb 3.63, 3 Tm 3.63

formation enthalpy at 0 K = 1.6 kJ per mole of atoms
total magnetization = 0.00 Bohr magnetons per cell



[3]
Compound: Tb2PmNd6Tm
Source: Alexandria via LeMat-Bulk
Functional: PBE
Structure: optimized geometry

Lattice parameters (Å, degrees): 9.2940 15.3651 9.6888 90.00 97.24 90.00
Closest atoms and distances in Å follow each position.
Space group C2/c (No. 15)
Unique sites:
Tb: 0.2483 0.0495 0.4537  5 Nd 3.31-3.54, 2 Pm 3.45-3.49, 1 Tm 3.54
Pm: 0.0000 0.4743 0.2500  4 Tb 3.45-3.49, 4 Nd 3.61-3.69
Nd: 0.0609 0.3201 0.9454  7 Nd 3.47-3.81, 1 Tb 3.54, 2 Pm 3.69-3.88
Nd: 0.0988 0.1089 0.1176  4 Nd 3.31-3.65, 3 Tb 3.31-3.50, 2 Tm 3.46-3.58
Nd: 0.2131 0.2783 0.3115  2 Nd 3.31-3.66, 1 Tm 3.47, 1 Tb 3.48, 1 Pm 3.61
Tm: 0.0000 0.0883 0.7500  6 Nd 3.46-3.58, 2 Tb 3.54

formation enthalpy at 0 K = 11.0 kJ per mole of atoms
total magnetization = 0.00 Bohr magnetons per cell



Q: Among the records above, which one has the highest formation enthalpy at 0 K?
A: Tb2Pm5NdTm